# 1
Below is a relaxed LaEuCu crystal, with properties calculated at the GGA-PBE level.

Unit cell a=3.962 b=3.962 c=7.173 alpha=90.00 beta=90.00 gamma=120.00
Site moments in Bohr magnetons follow the coordinates.
Fractional coordinates of all 3 atoms:
Eu (0.333, 0.667, 0.604)  -6.95
La (0.000, 0.000, 0.069)  -0.12
Cu (0.667, 0.333, 0.326)  -0.01

**ΔE_f**: 72 meV/atom
**Energy above the lowest structure with this stoichiometry**: 0.128 eV/atom

---

# 2
Below is a relaxed La2EuCu crystal, with properties calculated at the GGA-PBE level.

Unit cell a=3.753 b=3.753 c=9.110 alpha=90.00 beta=90.00 gamma=90.00
Site moments in Bohr magnetons follow the coordinates.
Fractional coordinates of all 4 atoms:
Eu (0.500, 0.500, 0.500)  7.03
Cu (0.500, 0.500, 0.000)  0.03
La (0.000, 0.000, 0.815)  0.16
La (0.000, 0.000, 0.185)  0.16

**ΔE_f**: -34 meV/atom

---

# 3
Below is a relaxed LaEuCu crystal, with properties calculated at the GGA-PBE level.

Unit cell a=5.095 b=5.095 c=5.095 alpha=60.00 beta=60.00 gamma=60.00
Site moments in Bohr magnetons follow the coordinates.
Fractional coordinates of all 3 atoms:
Cu (0.250, 0.250, 0.250)  0.00
Eu (0.000, 0.000, 0.000)  6.86
La (0.500, 0.500, 0.500)  0.11

**ΔE_f**: 76 meV/atom
**Energy above the lowest structure with this stoichiometry**: 0.132 eV/atom

---

# 4
Below is a relaxed LaEuCu2 crystal, with properties calculated at the GGA-PBE level.

Unit cell a=5.150 b=5.150 c=5.150 alpha=60.00 beta=60.00 gamma=60.00
Site moments in Bohr magnetons follow the coordinates.
Fractional coordinates of all 4 atoms:
Cu (0.750, 0.750, 0.750)  0.00
Cu (0.250, 0.250, 0.250)  0.00
La (0.500, 0.500, 0.500)  0.03
Eu (0.000, 0.000, 0.000)  6.82

**ΔE_f**: -121 meV/atom
**Energy above the lowest structure with this stoichiometry**: 0.000 eV/atom

---

# 5
Below is a relaxed La3EuCu crystal, with properties calculated at the GGA-PBE level.

Unit cell a=5.745 b=5.745 c=5.745 alpha=90.00 beta=90.00 gamma=90.00
Site moments in Bohr magnetons follow the coordinates.
Fractional coordinates of all 5 atoms:
La (0.000, 0.500, 0.000)  0.07
La (0.500, 0.000, 0.000)  0.07
La (0.000, 0.000, 0.500)  0.07
Eu (0.500, 0.500, 0.500)  6.93
Cu (0.000, 0.000, 0.000)  0.01

**ΔE_f**: 116 meV/atom

---

# 6
Below is a relaxed LaEuMgCu crystal, with properties calculated at the GGA-PBE level.

Unit cell a=5.401 b=5.401 c=5.401 alpha=60.00 beta=60.00 gamma=60.00
Site moments in Bohr magnetons follow the coordinates.
Fractional coordinates of all 4 atoms:
La (0.500, 0.500, 0.500)  0.07
Eu (0.000, 0.000, 0.000)  6.87
Mg (0.750, 0.750, 0.750)  0.01
Cu (0.250, 0.250, 0.250)  0.02

**ΔE_f**: -16 meV/atom

---

# 7
Below is a relaxed LaEuCuOs crystal, with properties calculated at the GGA-PBE level.

Unit cell a=5.035 b=5.035 c=5.035 alpha=60.00 beta=60.00 gamma=60.00
Site moments in Bohr magnetons follow the coordinates.
Fractional coordinates of all 4 atoms:
Cu (0.250, 0.250, 0.250)  0.00
Os (0.750, 0.750, 0.750)  -0.23
Eu (0.000, 0.000, 0.000)  6.72
La (0.500, 0.500, 0.500)  0.03

**ΔE_f**: 60 meV/atom

---

# 8
Below is a relaxed LaEuCuPd crystal, with properties calculated at the GGA-PBE level.

Unit cell a=5.161 b=5.161 c=5.161 alpha=60.00 beta=60.00 gamma=60.00
Site moments in Bohr magnetons follow the coordinates.
Fractional coordinates of all 4 atoms:
Eu (0.500, 0.500, 0.500)  6.82
La (0.000, 0.000, 0.000)  0.05
Pd (0.250, 0.250, 0.250)  -0.01
Cu (0.750, 0.750, 0.750)  0.00

**ΔE_f**: -424 meV/atom

---

# 9
Below is a relaxed LaEuCuRh crystal, with properties calculated at the GGA-PBE level.

Unit cell a=5.075 b=5.075 c=5.075 alpha=60.00 beta=60.00 gamma=60.00
Site moments in Bohr magnetons follow the coordinates.
Fractional coordinates of all 4 atoms:
La (0.500, 0.500, 0.500)  -0.06
Eu (0.000, 0.000, 0.000)  -6.79
Rh (0.750, 0.750, 0.750)  0.10
Cu (0.250, 0.250, 0.250)  -0.01

**ΔE_f**: -366 meV/atom

---

# 10
Below is a relaxed LaEuCuSb crystal, with properties calculated at the GGA-PBE level.

Unit cell a=5.394 b=5.394 c=5.394 alpha=60.00 beta=60.00 gamma=60.00
Site moments in Bohr magnetons follow the coordinates.
Fractional coordinates of all 4 atoms:
La (0.500, 0.500, 0.500)  0.24
Eu (0.000, 0.000, 0.000)  6.92
Sb (0.750, 0.750, 0.750)  -0.05
Cu (0.250, 0.250, 0.250)  0.02

**VASP energy**: -6.418 eV/atom

---

# 11
Below is a relaxed LaEuCuSn crystal, with properties calculated at the GGA-PBE level.

Unit cell a=5.419 b=5.419 c=5.419 alpha=60.00 beta=60.00 gamma=60.00
Site moments in Bohr magnetons follow the coordinates.
Fractional coordinates of all 4 atoms:
Eu (0.250, 0.250, 0.250)  -6.85
La (0.750, 0.750, 0.750)  -0.06
Sn (0.500, 0.500, 0.500)  0.03
Cu (0.000, 0.000, 0.000)  0.00

**ΔE_f**: -437 meV/atom

---

# 12
Below is a relaxed LaEuTlCu crystal, with properties calculated at the GGA-PBE level.

Unit cell a=5.436 b=5.436 c=5.436 alpha=60.00 beta=60.00 gamma=60.00
Site moments in Bohr magnetons follow the coordinates.
Fractional coordinates of all 4 atoms:
Eu (0.500, 0.500, 0.500)  -6.82
Cu (0.750, 0.750, 0.750)  0.01
La (0.000, 0.000, 0.000)  0.00
Tl (0.250, 0.250, 0.250)  0.01

**ΔE_f**: -222 meV/atom

---

# 13
Below is a relaxed LaEuZnCu crystal, with properties calculated at the GGA-PBE level.

Unit cell a=5.238 b=5.238 c=5.238 alpha=60.00 beta=60.00 gamma=60.00
Site moments in Bohr magnetons follow the coordinates.
Fractional coordinates of all 4 atoms:
La (0.500, 0.500, 0.500)  0.05
Cu (0.250, 0.250, 0.250)  0.01
Zn (0.750, 0.750, 0.750)  0.02
Eu (0.000, 0.000, 0.000)  6.84

**ΔE_f**: -188 meV/atom

---

# 14
Below is a relaxed Li2EuCu crystal, with properties calculated at the GGA-PBE level.

Unit cell a=3.335 b=3.335 c=10.196 alpha=80.59 beta=80.59 gamma=60.00
Site moments in Bohr magnetons follow the coordinates.
Fractional coordinates of all 4 atoms:
Cu (0.500, 0.500, 0.500)  0.00
Li (0.109, 0.109, 0.672)  0.00
Li (0.891, 0.891, 0.328)  0.00
Eu (0.000, 0.000, 0.000)  7.30

**ΔE_f**: 313 meV/atom
**Energy above the lowest structure with this stoichiometry**: 0.192 eV/atom

---

# 15
Below is a relaxed Li2EuCu crystal, with properties calculated at the GGA-PBE level.

Unit cell a=3.450 b=3.450 c=7.111 alpha=90.00 beta=90.00 gamma=90.00
Site moments in Bohr magnetons follow the coordinates.
Fractional coordinates of all 4 atoms:
Li (0.000, 0.000, 0.171)  0.03
Li (0.000, 0.000, 0.829)  0.03
Eu (0.500, 0.500, 0.500)  7.05
Cu (0.500, 0.500, 0.000)  0.02

**ΔE_f**: 121 meV/atom
**Energy above the lowest structure with this stoichiometry**: 0.000 eV/atom

---

# 16
Below is a relaxed LiEuMgCu crystal, with properties calculated at the GGA-PBE level.

Unit cell a=4.991 b=4.991 c=4.991 alpha=60.00 beta=60.00 gamma=60.00
Site moments in Bohr magnetons follow the coordinates.
Fractional coordinates of all 4 atoms:
Cu (0.250, 0.250, 0.250)  0.01
Mg (0.500, 0.500, 0.500)  0.01
Li (0.750, 0.750, 0.750)  0.04
Eu (0.000, 0.000, 0.000)  6.87

**ΔE_f**: -18 meV/atom

---

# 17
Below is a relaxed LiNdEuCu crystal, with properties calculated at the GGA-PBE level.

Unit cell a=5.244 b=5.244 c=5.244 alpha=60.00 beta=60.00 gamma=60.00
Site moments in Bohr magnetons follow the coordinates.
Fractional coordinates of all 4 atoms:
Cu (0.250, 0.250, 0.250)  -0.01
Li (0.750, 0.750, 0.750)  0.01
Nd (0.500, 0.500, 0.500)  0.01
Eu (0.000, 0.000, 0.000)  6.83

**ΔE_f**: 29 meV/atom

---

# 18
Below is a relaxed LiEuCuPb crystal, with properties calculated at the GGA-PBE level.

Unit cell a=4.936 b=4.936 c=4.936 alpha=60.00 beta=60.00 gamma=60.00
Site moments in Bohr magnetons follow the coordinates.
Fractional coordinates of all 4 atoms:
Li (0.750, 0.750, 0.750)  0.02
Eu (0.000, 0.000, 0.000)  6.82
Pb (0.500, 0.500, 0.500)  -0.04
Cu (0.250, 0.250, 0.250)  -0.01

**ΔE_f**: -269 meV/atom

---

# 19
Below is a relaxed LiPrEuCu crystal, with properties calculated at the GGA-PBE level.

Unit cell a=5.265 b=5.265 c=5.265 alpha=60.00 beta=60.00 gamma=60.00
Site moments in Bohr magnetons follow the coordinates.
Fractional coordinates of all 4 atoms:
Pr (0.500, 0.500, 0.500)  0.01
Cu (0.250, 0.250, 0.250)  -0.01
Eu (0.000, 0.000, 0.000)  6.83
Li (0.750, 0.750, 0.750)  0.01

**ΔE_f**: 27 meV/atom

---

# 20
Below is a relaxed LiSmEuCu crystal, with properties calculated at the GGA-PBE level.

Unit cell a=5.210 b=5.210 c=5.210 alpha=60.00 beta=60.00 gamma=60.00
Site moments in Bohr magnetons follow the coordinates.
Fractional coordinates of all 4 atoms:
Cu (0.250, 0.250, 0.250)  0.00
Eu (0.500, 0.500, 0.500)  6.83
Sm (0.000, 0.000, 0.000)  0.02
Li (0.750, 0.750, 0.750)  0.01

**ΔE_f**: 31 meV/atom

---

# 21
Below is a relaxed LiEuCuSn crystal, with properties calculated at the GGA-PBE level.

Unit cell a=4.850 b=4.850 c=4.850 alpha=60.00 beta=60.00 gamma=60.00
Site moments in Bohr magnetons follow the coordinates.
Fractional coordinates of all 4 atoms:
Sn (0.500, 0.500, 0.500)  -0.05
Eu (0.000, 0.000, 0.000)  6.79
Li (0.750, 0.750, 0.750)  0.03
Cu (0.250, 0.250, 0.250)  -0.01

**ΔE_f**: -388 meV/atom

---

# 22
Below is a relaxed LiTbEuCu crystal, with properties calculated at the GGA-PBE level.

Unit cell a=5.163 b=5.163 c=5.163 alpha=60.00 beta=60.00 gamma=60.00
Site moments in Bohr magnetons follow the coordinates.
Fractional coordinates of all 4 atoms:
Cu (0.250, 0.250, 0.250)  0.00
Li (0.750, 0.750, 0.750)  0.02
Eu (0.500, 0.500, 0.500)  6.82
Tb (0.000, 0.000, 0.000)  0.05

**ΔE_f**: 30 meV/atom

---

# 23
Below is a relaxed LiEuTlCu crystal, with properties calculated at the GGA-PBE level.

Unit cell a=4.944 b=4.944 c=4.944 alpha=60.00 beta=60.00 gamma=60.00
Site moments in Bohr magnetons follow the coordinates.
Fractional coordinates of all 4 atoms:
Cu (0.500, 0.500, 0.500)  -0.01
Eu (0.750, 0.750, 0.750)  6.79
Tl (0.250, 0.250, 0.250)  -0.01
Li (0.000, 0.000, 0.000)  0.01

**ΔE_f**: -135 meV/atom

---

# 24
Below is a relaxed LiEuTmCu crystal, with properties calculated at the GGA-PBE level.

Unit cell a=5.114 b=5.114 c=5.114 alpha=60.00 beta=60.00 gamma=60.00
Site moments in Bohr magnetons follow the coordinates.
Fractional coordinates of all 4 atoms:
Eu (0.000, 0.000, 0.000)  6.81
Cu (0.250, 0.250, 0.250)  0.01
Li (0.750, 0.750, 0.750)  0.02
Tm (0.500, 0.500, 0.500)  0.07

**ΔE_f**: 26 meV/atom

---

# 25
Below is a relaxed LiEuZnCu crystal, with properties calculated at the GGA-PBE level.

Unit cell a=4.793 b=4.793 c=4.793 alpha=60.00 beta=60.00 gamma=60.00
Site moments in Bohr magnetons follow the coordinates.
Fractional coordinates of all 4 atoms:
Eu (0.000, 0.000, 0.000)  6.87
Zn (0.500, 0.500, 0.500)  0.04
Cu (0.250, 0.250, 0.250)  0.02
Li (0.750, 0.750, 0.750)  0.05

**ΔE_f**: -30 meV/atom

---

# 26
Below is a relaxed EuLuCu2 crystal, with properties calculated at the GGA-PBE level.

Unit cell a=4.946 b=4.946 c=4.946 alpha=60.00 beta=60.00 gamma=60.00
Site moments in Bohr magnetons follow the coordinates.
Fractional coordinates of all 4 atoms:
Cu (0.750, 0.750, 0.750)  0.00
Cu (0.250, 0.250, 0.250)  0.00
Lu (0.500, 0.500, 0.500)  -0.02
Eu (0.000, 0.000, 0.000)  -6.74

**ΔE_f**: -134 meV/atom
**Energy above the lowest structure with this stoichiometry**: 0.057 eV/atom

---

# 27
Below is a relaxed EuLuCu2 crystal, with properties calculated at the GGA-PBE level.

Unit cell a=3.500 b=3.500 c=7.080 alpha=90.00 beta=90.00 gamma=90.00
Site moments in Bohr magnetons follow the coordinates.
Fractional coordinates of all 4 atoms:
Eu (0.500, 0.500, 0.500)  -6.87
Cu (0.000, 0.000, 0.206)  -0.01
Cu (0.000, 0.000, 0.794)  -0.01
Lu (0.500, 0.500, 0.000)  -0.02

**ΔE_f**: -192 meV/atom
**Energy above the lowest structure with this stoichiometry**: 0.000 eV/atom

---

# 28
Below is a relaxed EuLu2Cu crystal, with properties calculated at the GGA-PBE level.

Unit cell a=5.228 b=5.228 c=5.221 alpha=59.96 beta=59.96 gamma=60.00
Site moments in Bohr magnetons follow the coordinates.
Fractional coordinates of all 4 atoms:
Cu (0.000, 0.000, 0.000)  -0.05
Lu (0.250, 0.250, 0.251)  -0.22
Lu (0.750, 0.750, 0.749)  -0.22
Eu (0.500, 0.500, 0.500)  -6.97

**ΔE_f**: 228 meV/atom
**Energy above the lowest structure with this stoichiometry**: 0.299 eV/atom

---

# 29
Below is a relaxed EuLu2Cu crystal, with properties calculated at the GGA-PBE level.

Unit cell a=3.450 b=3.450 c=9.043 alpha=90.00 beta=90.00 gamma=90.00
Site moments in Bohr magnetons follow the coordinates.
Fractional coordinates of all 4 atoms:
Lu (0.000, 0.000, 0.819)  0.07
Lu (0.000, 0.000, 0.181)  0.07
Eu (0.500, 0.500, 0.500)  6.93
Cu (0.500, 0.500, 0.000)  0.01

**ΔE_f**: -71 meV/atom
**Energy above the lowest structure with this stoichiometry**: 0.000 eV/atom

---

# 30
Below is a relaxed EuLuCu crystal, with properties calculated at the GGA-PBE level.

Unit cell a=3.534 b=3.534 c=6.763 alpha=105.15 beta=105.15 gamma=90.00
Site moments in Bohr magnetons follow the coordinates.
Fractional coordinates of all 3 atoms:
Lu (0.294, 0.294, 0.588)  -0.02
Eu (0.022, 0.022, 0.045)  -6.88
Cu (0.684, 0.684, 0.367)  0.01

**ΔE_f**: -103 meV/atom

---

# 31
Below is a relaxed EuLuCuNi crystal, with properties calculated at the GGA-PBE level.

Unit cell a=4.867 b=4.867 c=4.867 alpha=60.00 beta=60.00 gamma=60.00
Site moments in Bohr magnetons follow the coordinates.
Fractional coordinates of all 4 atoms:
Lu (0.500, 0.500, 0.500)  0.04
Cu (0.750, 0.750, 0.750)  0.01
Eu (0.000, 0.000, 0.000)  6.73
Ni (0.250, 0.250, 0.250)  -0.03

**ΔE_f**: -164 meV/atom

---

| no. | volume (Å³/cell) |
| --- | --- |
| 1 | 97.5 |
| 2 | 128.3 |
| 3 | 93.5 |
| 4 | 96.6 |
| 5 | 189.7 |
| 6 | 111.4 |
| 7 | 90.2 |
| 8 | 97.2 |
| 9 | 92.4 |
| 10 | 111.0 |
| 11 | 112.5 |
| 12 | 113.6 |
| 13 | 101.6 |
| 14 | 96.4 |
| 15 | 84.6 |
| 16 | 87.9 |
| 17 | 102.0 |
| 18 | 85.0 |
| 19 | 103.2 |
| 20 | 100.0 |
| 21 | 80.7 |
| 22 | 97.3 |
| 23 | 85.4 |
| 24 | 94.6 |
| 25 | 77.9 |
| 26 | 85.6 |
| 27 | 86.7 |
| 28 | 100.8 |
| 29 | 107.6 |
| 30 | 78.5 |
| 31 | 81.5 |